(1)
A geometry-optimized LuMgTlNi structure. Source: the Open Quantum Materials Database, functional GGA-PBE.

a = 4.842 Å, b = 4.842 Å, c = 4.842 Å
α = 60.00°, β = 60.00°, γ = 60.00°
Fractional coordinates of all 4 atoms:
1 Lu 0.000 0.000 0.000
2 Mg 0.500 0.500 0.500
3 Tl 0.250 0.250 0.250
4 Ni 0.750 0.750 0.750

Values from the calculation:
Energy relative to the lowest polymorph listed for this composition (eV/atom): 0.000
Space-group type: No. 216

(2)
A geometry-optimized Lu2MgOs structure. Source: the Open Quantum Materials Database, functional GGA-PBE.

a = 5.116 Å, b = 5.116 Å, c = 7.953 Å
α = 90.00°, β = 90.00°, γ = 120.00°
Fractional coordinates of all 8 atoms:
1 Lu 0.333 0.667 0.080
2 Lu 0.333 0.667 0.420
3 Lu 0.667 0.333 0.580
4 Lu 0.667 0.333 0.920
5 Mg 0.000 0.000 0.000
6 Mg 0.000 0.000 0.500
7 Os 0.333 0.667 0.750
8 Os 0.667 0.333 0.250

Values from the calculation:
Energy relative to the lowest polymorph listed for this composition (eV/atom): 0.443
Space-group type: No. 194